(1)
Compound: TlNiIr
Source: the Alexandria database
Functional: PBE-GGA
Structure: relaxed

Values from the calculation:
Space group: P3m1
Polymorph energy (0 for the lowest one) in eV per atom: 0.050
Density in g/cm³: 15.1
Total moment in μB per atom: 0.0001

Lattice parameters (Å, degrees): 4.2624 4.2624 3.1751 90.00 90.00 120.00
With the nearest neighbours (Å) after each atom.
Atoms (fractional coordinates):
Tl1 0.0000 0.0000 0.0000  6 Ni 2.93, 6 Ir 2.93, 2 Tl 3.18
Ni1 0.3333 0.6667 0.4984  3 Ir 2.46
Ir1 0.6667 0.3333 0.5003  3 Ni 2.46

=====

(2)
Compound: TlNiIr2
Source: the Alexandria database
Functional: PBE-GGA
Structure: relaxed

Values from the calculation:
Space group: Cmmm
Polymorph energy (0 for the lowest one) in eV per atom: 0.270
Density in g/cm³: 16.5
Total moment in μB per atom: 0.2258

Lattice parameters (Å, degrees): 2.8845 4.8739 9.2668 90.00 90.00 90.00
With the nearest neighbours (Å) after each atom.
Atoms (fractional coordinates):
Tl1 0.0000 0.0000 0.0000  6 Tl 2.83-2.88, 4 Ir 2.97
Tl2 0.5000 0.5000 0.0000  6 Tl 2.83-2.88, 4 Ir 2.97
Ni1 0.0000 0.0000 0.5000  4 Ir 2.50
Ni2 0.5000 0.5000 0.5000  4 Ir 2.50
Ir1 0.0000 0.5000 0.2801  2 Ni 2.50
Ir2 0.0000 0.5000 0.7199  2 Ni 2.50
Ir3 0.5000 0.0000 0.2801  2 Ni 2.50
Ir4 0.5000 0.0000 0.7199  2 Ni 2.50